Entry 1:
VASP calculation (PBE) on a geometry-optimized SrTl2Ru structure.

Properties
Uncorrected energy in eV per cell: -28.051
SG: I-42d, No. 122
Formation energy in eV/atom: 0.416

Cell: 5.4329 5.4329 9.7602 Å, 73.84 73.84 90.00°
Closest atoms and distances in Å follow each position.
Positions (direct):
Ru: 0.0000 0.0000 0.0000  4 Tl 2.69
Ru: 0.7500 0.2500 0.5000  4 Tl 2.69
Tl: 0.7677 0.1250 0.2500  2 Ru 2.69, 2 Tl 2.96
Tl: 0.9823 0.6250 0.2500  2 Ru 2.69, 2 Tl 2.96
Tl: 0.3750 0.2323 0.7500  2 Ru 2.69, 2 Tl 2.96
Tl: 0.8750 0.0177 0.7500  2 Ru 2.69, 2 Tl 2.96
Sr: 0.5000 0.5000 0.0000  4 Tl 3.38
Sr: 0.2500 0.7500 0.5000  4 Tl 3.38

Entry 2:
VASP calculation (PBE) on a geometry-optimized TiPbAu structure.

Properties
Uncorrected energy in eV per cell: -15.046
SG: P1, No. 1
Formation energy in eV/atom: -0.055

Cell: 3.1653 3.2011 6.5789 Å, 104.22 90.06 90.00°
Closest atoms and distances in Å follow each position.
Positions (direct):
Pb: 0.9311 0.5113 0.2314  2 Au 3.05-3.06, 4 Ti 3.12-3.13, 4 Pb 3.17-3.20
Au: 0.9290 0.2135 0.6389  4 Ti 2.77, 2 Pb 3.05-3.06
Ti: 0.4294 0.8417 0.8923  4 Au 2.77

Entry 3:
VASP calculation (PBE) on a geometry-optimized Zr2TaSi structure.

Properties
Uncorrected energy in eV per cell: -66.991
SG: I-42d, No. 122
ΔE_f (raw) in meV/atom: 219

Cell: 7.8351 7.8351 6.1495 Å, 50.43 50.43 90.00°
Closest atoms and distances in Å follow each position.
Positions (direct):
Si: 0.5000 0.5000 0.0000  4 Zr 2.66, 2 Ta 2.67
Si: 0.2500 0.7500 0.5000  4 Zr 2.66, 2 Ta 2.67
Zr: 0.5886 0.1250 0.2500  2 Si 2.66, 2 Zr 2.73
Zr: 0.1614 0.6250 0.2500  2 Si 2.66, 2 Zr 2.73
Zr: 0.3750 0.4114 0.7500  2 Si 2.66, 2 Zr 2.73
Zr: 0.8750 0.8386 0.7500  2 Si 2.66, 2 Zr 2.73
Ta: 0.0000 0.0000 0.0000  2 Si 2.67
Ta: 0.7500 0.2500 0.5000  2 Si 2.67

Entry 4:
VASP calculation (PBE) on a geometry-optimized TmScAgAu structure.

Properties
Excess energy over the best structure of this formula in the dataset in kJ/mol of formula units: 4
Uncorrected energy in eV per cell: -19.206
SG: F-43m, No. 216
Formation energy in eV/atom: -0.569

Cell: 4.9436 4.9436 4.9436 Å, 60.00 60.00 60.00°
Closest atoms and distances in Å follow each position.
Positions (direct):
Sc: 0.0000 0.0000 0.0000  4 Au 3.03, 4 Ag 3.03
Tm: 0.5000 0.5000 0.5000  4 Ag 3.03, 4 Au 3.03
Au: 0.7500 0.7500 0.7500  4 Sc 3.03, 4 Tm 3.03
Ag: 0.2500 0.2500 0.2500  4 Tm 3.03, 4 Sc 3.03

Entry 5:
VASP calculation (PBE) on a geometry-optimized CaMg3Rh4 structure.

Properties
Uncorrected energy in eV per cell: -78.508
SG: P4/mmm, No. 123
Formation energy in eV/atom: -0.383

Cell: 4.4942 6.4688 8.9911 Å, 90.00 90.00 90.00°
Closest atoms and distances in Å follow each position.
Positions (direct):
Ca: 0.0000 0.5000 0.0000  8 Rh 2.83
Ca: 0.0000 0.5000 0.5000  8 Rh 2.83
Rh: 0.5000 0.7661 0.0000  6 Mg 2.71-2.83, 2 Ca 2.83, 1 Rh 3.03
Rh: 0.5000 0.7661 0.5000  6 Mg 2.71-2.83, 2 Ca 2.83, 1 Rh 3.03
Rh: 0.5000 0.2339 0.0000  6 Mg 2.71-2.83, 2 Ca 2.83, 1 Rh 3.03
Rh: 0.5000 0.2339 0.5000  6 Mg 2.71-2.83, 2 Ca 2.83, 1 Rh 3.03
Rh: 0.0003 0.7660 0.7500  6 Mg 2.71-2.83, 2 Ca 2.83, 1 Rh 3.03
Rh: 0.9997 0.7660 0.2500  6 Mg 2.71-2.83, 2 Ca 2.83, 1 Rh 3.03
Rh: 0.9997 0.2340 0.2500  6 Mg 2.71-2.83, 2 Ca 2.83, 1 Rh 3.03
Rh: 0.0003 0.2340 0.7500  6 Mg 2.71-2.83, 2 Ca 2.83, 1 Rh 3.03
Mg: 0.0000 0.0000 0.0000  8 Rh 2.71
Mg: 0.0000 0.0000 0.5000  8 Rh 2.71
Mg: 0.5003 0.0000 0.7500  8 Rh 2.71
Mg: 0.4997 0.0000 0.2500  8 Rh 2.71
Mg: 0.5002 0.5000 0.7500  8 Rh 2.83
Mg: 0.4998 0.5000 0.2500  8 Rh 2.83

Entry 6:
VASP calculation (PBE) on a geometry-optimized Cs2Tl6PdAu structure.

Properties
Uncorrected energy in eV per cell: -50.125
SG: R-3m, No. 166
Formation energy in eV/atom: -0.069

Cell: 8.4737 8.4737 13.1279 Å, 71.17 71.17 60.00°
Closest atoms and distances in Å follow each position.
Positions (direct):
Cs: 0.8562 0.8562 0.4313  6 Tl 3.85-3.99
Cs: 0.1438 0.1438 0.5687  6 Tl 3.85-3.99
Cs: 0.7060 0.7060 0.8821  1 Au 3.48
Cs: 0.2940 0.2940 0.1179  1 Au 3.48
Tl: 0.8411 0.4052 0.3484  1 Pd 2.82, 1 Au 3.06
Tl: 0.4052 0.8411 0.3484  1 Pd 2.82, 1 Au 3.06
Tl: 0.4052 0.4052 0.3484  1 Pd 2.82, 1 Au 3.06
Tl: 0.1589 0.5948 0.6516  1 Pd 2.82, 1 Au 3.06
Tl: 0.5948 0.1589 0.6516  1 Pd 2.82, 1 Au 3.06
Tl: 0.5948 0.5948 0.6516  1 Pd 2.82, 1 Au 3.06
Tl: 0.7695 0.1909 0.8487  1 Pd 2.77, 1 Au 2.84
Tl: 0.1909 0.7695 0.8487  1 Pd 2.77, 1 Au 2.84
Tl: 0.1909 0.1909 0.8487  1 Pd 2.77, 1 Au 2.84
Tl: 0.2305 0.8091 0.1513  1 Pd 2.77, 1 Au 2.84
Tl: 0.8091 0.2305 0.1513  1 Pd 2.77, 1 Au 2.84
Tl: 0.8091 0.8091 0.1513  1 Pd 2.77, 1 Au 2.84
Pd: 0.0000 0.0000 0.0000  6 Tl 2.77
Pd: 0.5000 0.5000 0.5000  6 Tl 2.82
Au: 0.6108 0.6108 0.1677  6 Tl 2.84-3.06
Au: 0.3892 0.3892 0.8323  6 Tl 2.84-3.06

In the order shown, the computed V values come out to 33.10 21.54 20.48 21.36 16.34 37.88 Å³/atom.